(1)
This record from the Alexandria database describes crystalline LuMg2Mn3S8 at its relaxed geometry. The functional is GGA-PBE.

Cell: 7.429 7.445 7.425 Å, 59.47 59.72 59.42°
Fractional positions:
1 S 0.282 0.751 0.751
2 S 0.249 0.249 0.718
3 S 0.718 0.249 0.249
4 S 0.741 0.741 0.741
5 S 0.752 0.281 0.752
6 S 0.259 0.259 0.259
7 S 0.751 0.751 0.282
8 S 0.248 0.719 0.248
9 Lu 0.500 0.500 0.500
10 Mg 0.124 0.124 0.124
11 Mg 0.876 0.876 0.876
12 Mn 0.500 0.000 0.500
13 Mn 0.500 0.500 0.000
14 Mn 0.000 0.500 0.500

Results
Raw formation energy (meV per atom): -1009



(2)
This record from the Alexandria database describes crystalline SmLuMgMn at its relaxed geometry. The functional is GGA-PBE.

Cell: 5.175 5.175 5.175 Å, 60.00 60.00 60.00°
Fractional positions:
1 Lu 0.250 0.250 0.250
2 Mn 0.500 0.500 0.500
3 Sm 0.750 0.750 0.750
4 Mg 0.000 0.000 0.000

Results
Formation enthalpy at 0 K (eV/atom): 0.104



(3)
This record from the Alexandria database describes crystalline TmLuMgMn at its relaxed geometry. The functional is GGA-PBE.

Cell: 5.096 5.096 5.096 Å, 60.00 60.00 60.00°
Fractional positions:
1 Mn 0.000 0.000 0.000
2 Mg 0.500 0.500 0.500
3 Lu 0.250 0.250 0.250
4 Tm 0.750 0.750 0.750

Results
Formation enthalpy at 0 K (eV/atom): 0.096



(4)
This record from the Alexandria database describes crystalline LuMgMoS4 at its relaxed geometry. The functional is GGA-PBE.

Cell: 7.703 7.562 7.562 Å, 56.40 59.36 59.36°
Fractional positions:
1 S 0.256 0.744 0.744
2 S 0.729 0.283 0.760
3 S 0.757 0.743 0.743
4 S 0.288 0.250 0.250
5 S 0.713 0.250 0.250
6 S 0.270 0.221 0.740
7 S 0.729 0.760 0.283
8 S 0.270 0.740 0.221
9 Mg 0.863 0.886 0.886
10 Mg 0.110 0.141 0.141
11 Lu 0.014 0.492 0.492
12 Lu 0.503 0.492 0.492
13 Mo 0.500 0.545 0.955
14 Mo 0.500 0.955 0.545

Results
Raw formation energy (meV per atom): -1270



(5)
This record from the Alexandria database describes crystalline LuMg2Mo3S8 at its relaxed geometry. The functional is GGA-PBE.

Cell: 7.450 7.450 7.450 Å, 60.89 60.89 60.89°
Fractional positions:
1 Mo 0.000 0.500 0.500
2 Mo 0.500 0.500 0.000
3 Mo 0.500 0.000 0.500
4 Mg 0.123 0.123 0.123
5 Mg 0.877 0.877 0.877
6 S 0.750 0.276 0.750
7 S 0.739 0.739 0.739
8 S 0.250 0.724 0.250
9 S 0.250 0.250 0.724
10 S 0.276 0.750 0.750
11 S 0.750 0.750 0.276
12 S 0.724 0.250 0.250
13 S 0.261 0.261 0.261
14 Lu 0.500 0.500 0.500

Results
Raw formation energy (meV per atom): -914



(6)
This record from the Alexandria database describes crystalline TmLuMgMo at its relaxed geometry. The functional is GGA-PBE.

Cell: 5.021 5.021 5.021 Å, 60.00 60.00 60.00°
Fractional positions:
1 Mo 0.000 0.000 0.000
2 Tm 0.750 0.750 0.750
3 Lu 0.250 0.250 0.250
4 Mg 0.500 0.500 0.500

Results
Formation enthalpy at 0 K (eV/atom): 0.200



(7)
This record from the Alexandria database describes crystalline LuMgZrMo at its relaxed geometry. The functional is GGA-PBE.

Cell: 4.908 4.908 4.908 Å, 60.00 60.00 60.00°
Fractional positions:
1 Zr 0.000 0.000 0.000
2 Mo 0.750 0.750 0.750
3 Lu 0.500 0.500 0.500
4 Mg 0.250 0.250 0.250

Results
Formation enthalpy at 0 K (eV/atom): 0.106



(8)
This record from the Alexandria database describes crystalline Lu2MgN at its relaxed geometry. The functional is GGA-PBE.

Cell: 3.391 3.391 8.322 Å, 78.24 78.24 60.00°
Fractional positions:
1 Lu 0.721 0.721 0.838
2 Lu 0.279 0.279 0.162
3 Mg 0.500 0.500 0.500
4 N 0.000 0.000 0.000

Results
Raw formation energy (meV per atom): -882



(9)
This record from the Alexandria database describes crystalline NaLuMg2 at its relaxed geometry. The functional is GGA-PBE.

Cell: 3.363 3.363 11.412 Å, 81.53 81.53 60.00°
Fractional positions:
1 Na 0.000 0.000 0.000
2 Mg 0.248 0.248 0.257
3 Mg 0.752 0.752 0.743
4 Lu 0.500 0.500 0.500

Results
ΔE to the lowest computed polymorph (eV per atom): 0.027
Formation enthalpy at 0 K (eV/atom): 0.079



(10)
This record from the Alexandria database describes crystalline NaLuMg2 at its relaxed geometry. The functional is GGA-PBE.

Cell: 3.373 3.373 9.712 Å, 90.00 90.00 90.00°
Fractional positions:
1 Mg 0.000 0.000 0.735
2 Mg 0.000 0.000 0.265
3 Lu 0.500 0.500 0.500
4 Na 0.500 0.500 0.000

Results
ΔE to the lowest computed polymorph (eV per atom): 0.000
Formation enthalpy at 0 K (eV/atom): 0.052



Number 1: total DFT energy (no corrections) -5.88 eV/atom, total magnetization 12.0 μB/f.u.. Number 2: total DFT energy (no corrections) -4.90 eV/atom, total magnetization 3.1 μB/f.u.. Number 3: total DFT energy (no corrections) -4.84 eV/atom, total magnetization 3.3 μB/f.u.. Number 4: total DFT energy (no corrections) -6.05 eV/atom, total magnetization 0.0 μB/f.u.. Number 5: total DFT energy (no corrections) -6.14 eV/atom, total magnetization 8.7 μB/f.u.. Number 6: total DFT energy (no corrections) -5.15 eV/atom, total magnetization 0.0 μB/f.u.. Number 7: total DFT energy (no corrections) -6.27 eV/atom, total magnetization 0.0 μB/f.u.. Number 8: total DFT energy (no corrections) -5.62 eV/atom, total magnetization 0.0 μB/f.u.. Number 9: total DFT energy (no corrections) -2.18 eV/atom, total magnetization 0.0 μB/f.u.. Number 10: total DFT energy (no corrections) -2.21 eV/atom, total magnetization 0.0 μB/f.u..